Version one
A plane-wave DFT calculation with PBE was carried out for a relaxed structure of Ta2HO. Values from VASP.

The structure in Quantum ESPRESSO input format:
```
&SYSTEM
  ibrav = 0, nat = 8, ntyp = 3
/
ATOMIC_SPECIES
Ta 180.95 Ta.upf
H 1.01 H.upf
O 16.00 O.upf
CELL_PARAMETERS angstrom
-2.2947 2.2947 4.6097
2.2947 -2.2947 4.6097
2.2947 2.2947 -4.6097
ATOMIC_POSITIONS angstrom
Ta 3.4421 1.0338 -1.1524
Ta 1.0338 1.1474 1.1524
Ta -1.1474 1.2609 3.4573
Ta 1.2609 1.1474 5.7621
H 0.0000 0.0000 0.0000
H 0.0000 2.2947 2.3048
O 2.2947 0.0000 2.3048
O 0.0000 0.0000 4.6097
```

Calculated values
Space-group type: I-42d, No. 122
V in Å³/atom: 12.14

Version two
A plane-wave DFT calculation with PBE was carried out for a relaxed structure of Ta2HO. Values from VASP.

The structure in Quantum ESPRESSO input format:
```
&SYSTEM
  ibrav = 0, nat = 4, ntyp = 3
/
ATOMIC_SPECIES
Ta 180.95 Ta.upf
H 1.01 H.upf
O 16.00 O.upf
CELL_PARAMETERS angstrom
0.0000 2.8391 2.8391
2.8391 0.0000 2.8391
2.8391 2.8391 0.0000
ATOMIC_POSITIONS angstrom
Ta 1.4196 1.4196 1.4196
Ta 4.2587 4.2587 4.2587
H 0.0000 0.0000 0.0000
O 2.8391 2.8391 2.8391
```

Calculated values
Space-group type: Fm-3m, No. 225
V in Å³/atom: 11.44

Most stable of them? version one.

Version one
A plane-wave DFT calculation with PBE was carried out for a relaxed structure of TbHO. Values from VASP.

The structure in Quantum ESPRESSO input format:
```
&SYSTEM
  ibrav = 0, nat = 3, ntyp = 3
/
ATOMIC_SPECIES
Tb 158.93 Tb.upf
H 1.01 H.upf
O 16.00 O.upf
CELL_PARAMETERS angstrom
3.6029 0.0000 0.0000
-1.8015 3.1202 0.0000
0.0000 0.0000 5.0763
ATOMIC_POSITIONS angstrom
Tb 0.0000 0.0000 0.0000
H 1.8015 1.0401 1.1834
O 0.0000 2.0802 4.3929
```

Calculated values
Space-group type: P3m1, No. 156
V in Å³/atom: 19.02

Version two
A plane-wave DFT calculation with PBE was carried out for a relaxed structure of TbHO. Values from VASP.

The structure in Quantum ESPRESSO input format:
```
&SYSTEM
  ibrav = 0, nat = 3, ntyp = 3
/
ATOMIC_SPECIES
Tb 158.93 Tb.upf
H 1.01 H.upf
O 16.00 O.upf
CELL_PARAMETERS angstrom
0.0000 2.6679 2.6679
2.6679 0.0000 2.6679
2.6679 2.6679 0.0000
ATOMIC_POSITIONS angstrom
Tb 0.0000 0.0000 0.0000
H 4.0018 4.0018 4.0018
O 1.3339 1.3339 1.3339
```

Calculated values
Space-group type: F-43m, No. 216
V in Å³/atom: 12.66

Most stable of them? version two.

Version one
A plane-wave DFT calculation with PBE was carried out for a relaxed structure of TcHO2. Values from VASP.

The structure in Quantum ESPRESSO input format:
```
&SYSTEM
  ibrav = 0, nat = 4, ntyp = 3
/
ATOMIC_SPECIES
Tc 98.00 Tc.upf
H 1.01 H.upf
O 16.00 O.upf
CELL_PARAMETERS angstrom
1.3866 0.8006 5.5416
-1.3866 0.8006 5.5416
0.0000 -1.6011 5.5416
ATOMIC_POSITIONS angstrom
Tc 0.0000 0.0000 0.0000
H 0.0000 0.0000 8.3124
O 0.0000 0.0000 1.7909
O 0.0000 0.0000 14.8338
```

Calculated values
Space-group type: R-3m, No. 166
V in Å³/atom: 9.23

Version two
A plane-wave DFT calculation with PBE was carried out for a relaxed structure of TcHO2. Values from VASP.

The structure in Quantum ESPRESSO input format:
```
&SYSTEM
  ibrav = 0, nat = 8, ntyp = 3
/
ATOMIC_SPECIES
Tc 98.00 Tc.upf
H 1.01 H.upf
O 16.00 O.upf
CELL_PARAMETERS angstrom
-2.1728 2.1728 3.6125
2.1728 -2.1728 3.6125
2.1728 2.1728 -3.6125
ATOMIC_POSITIONS angstrom
Tc 0.0000 0.0000 0.0000
Tc 0.0000 2.1728 1.8062
H 2.1728 0.0000 1.8062
H 0.0000 0.0000 3.6125
O 1.0864 -0.7541 2.7093
O 1.4187 1.0864 0.9031
O 1.0864 2.9269 -0.9031
O 0.7541 1.0864 4.5156
```

Calculated values
Space-group type: I-42d, No. 122
V in Å³/atom: 8.53

Version three
A plane-wave DFT calculation with PBE was carried out for a relaxed structure of TcHO2. Values from VASP.

The structure in Quantum ESPRESSO input format:
```
&SYSTEM
  ibrav = 0, nat = 4, ntyp = 3
/
ATOMIC_SPECIES
Tc 98.00 Tc.upf
H 1.01 H.upf
O 16.00 O.upf
CELL_PARAMETERS angstrom
0.0000 2.4753 2.4753
2.4753 0.0000 2.4753
2.4753 2.4753 0.0000
ATOMIC_POSITIONS angstrom
Tc 0.0000 0.0000 0.0000
H 2.4753 2.4753 2.4753
O 1.2377 1.2377 1.2377
O 3.7130 3.7130 3.7130
```

Calculated values
Space-group type: Fm-3m, No. 225
V in Å³/atom: 7.58

Most stable of them? version two.

Version one
A plane-wave DFT calculation with PBE was carried out for a relaxed structure of ThHO. Values from VASP.

The structure in Quantum ESPRESSO input format:
```
&SYSTEM
  ibrav = 0, nat = 3, ntyp = 3
/
ATOMIC_SPECIES
Th 232.04 Th.upf
H 1.01 H.upf
O 16.00 O.upf
CELL_PARAMETERS angstrom
0.0000 2.7883 2.7883
2.7883 0.0000 2.7883
2.7883 2.7883 0.0000
ATOMIC_POSITIONS angstrom
Th 0.0000 0.0000 0.0000
H 4.1824 4.1824 4.1824
O 1.3941 1.3941 1.3941
```

Calculated values
Space-group type: F-43m, No. 216
V in Å³/atom: 14.45

Version two
A plane-wave DFT calculation with PBE was carried out for a relaxed structure of ThHO. Values from VASP.

The structure in Quantum ESPRESSO input format:
```
&SYSTEM
  ibrav = 0, nat = 6, ntyp = 3
/
ATOMIC_SPECIES
Th 232.04 Th.upf
H 1.01 H.upf
O 16.00 O.upf
CELL_PARAMETERS angstrom
1.9584 1.1307 6.5115
-1.9584 1.1307 6.5115
0.0000 -2.2613 6.5115
ATOMIC_POSITIONS angstrom
Th 0.0000 0.0000 4.8904
Th 0.0000 0.0000 14.6441
H 0.0000 0.0000 2.4601
H 0.0000 0.0000 17.0743
O 0.0000 0.0000 7.3131
O 0.0000 0.0000 12.2214
```

Calculated values
Space-group type: R-3m, No. 166
V in Å³/atom: 14.42

Most stable of them? version two.